No. 1
A plane-wave DFT calculation with PBEsol was carried out for Li4MnCrW2O12 after structural relaxation.

Total magnetization = 5.00 μB per formula unit
Calculated volume = 9.475 Å³/atom
Formation energy (no corrections) = -41.07 eV/f.u.

The structure in POSCAR format:
```
Li4MnCrW2O12
1.0
4.995 0.000 0.000
0.000 5.246 0.000
0.011 0.491 7.232
Li Mn Cr W O
4 1 1 2 12
Cartesian
0.000 0.000 0.000 Li
0.006 0.267 3.601 Li
2.497 2.848 3.582 Li
2.492 2.638 0.003 Li
0.007 2.371 1.549 Mn
2.494 5.264 5.181 Cr
2.502 4.994 1.559 W
4.996 2.638 5.165 W
0.583 2.398 3.310 O
0.966 0.951 5.528 O
0.975 3.868 1.069 O
1.509 1.274 1.059 O
1.577 3.592 5.520 O
1.919 5.030 3.338 O
3.081 5.286 6.927 O
3.470 1.501 4.708 O
3.465 3.333 1.917 O
4.012 4.153 4.688 O
4.073 0.727 1.912 O
4.418 2.653 6.958 O
```

No. 2
A plane-wave DFT calculation with PBEsol was carried out for LiCrMo after structural relaxation.

Total magnetization = 0.89 μB per formula unit
Calculated volume = 15.399 Å³/atom
Energy of formation = 1247 meV/atom

The structure in POSCAR format:
```
LiCrMo
1.0
0.000 2.848 2.848
2.848 0.000 2.848
2.848 2.848 0.000
Li Cr Mo
1 1 1
Cartesian
0.000 0.000 0.000 Li
4.272 4.272 4.272 Cr
2.848 2.848 2.848 Mo
```

No. 3
A plane-wave DFT calculation with PBEsol was carried out for LiCrMo2 after structural relaxation.

Total magnetization = 0.00 μB per formula unit
Calculated volume = 13.679 Å³/atom
Energy of formation = 498 meV/atom

The structure in POSCAR format:
```
LiCrMo2
1.0
2.629 -4.183 0.000
2.629 4.183 0.000
0.000 0.000 2.488
Li Cr Mo
1 1 2
Cartesian
0.000 0.000 0.000 Li
2.629 0.000 0.000 Cr
1.314 2.091 1.244 Mo
1.314 -2.091 1.244 Mo
```

No. 4
A plane-wave DFT calculation with PBEsol was carried out for LiCrMo3 after structural relaxation.

Total magnetization = 0.00 μB per formula unit
Calculated volume = 17.550 Å³/atom
Energy of formation = 1304 meV/atom

The structure in POSCAR format:
```
LiCrMo3
1.0
4.444 0.000 0.000
0.000 4.444 0.000
0.000 0.000 4.444
Li Cr Mo
1 1 3
Cartesian
0.000 0.000 0.000 Li
2.222 2.222 2.222 Cr
0.000 2.222 2.222 Mo
2.222 0.000 2.222 Mo
2.222 2.222 0.000 Mo
```

No. 5
A plane-wave DFT calculation with PBEsol was carried out for LiCrMo2 after structural relaxation.

Total magnetization = 0.00 μB per formula unit
Calculated volume = 13.737 Å³/atom
Energy of formation = 514 meV/atom

The structure in POSCAR format:
```
LiCrMo2
1.0
2.463 0.000 0.000
0.000 4.288 0.000
0.000 0.000 5.202
Li Cr Mo
1 1 2
Cartesian
0.000 0.000 0.000 Li
1.232 2.144 3.938 Cr
0.000 0.000 2.658 Mo
1.232 2.144 1.244 Mo
```

No. 6
A plane-wave DFT calculation with PBEsol was carried out for Li2CrMo after structural relaxation.

Total magnetization = 1.20 μB per formula unit
Calculated volume = 13.239 Å³/atom
Energy of formation = 689 meV/atom

The structure in POSCAR format:
```
Li2CrMo
1.0
0.000 2.981 2.981
2.981 0.000 2.981
2.981 2.981 0.000
Li Cr Mo
2 1 1
Cartesian
0.000 0.000 0.000 Li
1.490 1.490 1.490 Li
2.981 2.981 2.981 Cr
4.471 4.471 4.471 Mo
```

No. 7
A plane-wave DFT calculation with PBEsol was carried out for LiCrMo2O8 after structural relaxation.

Total magnetization = 3.00 μB per formula unit
Calculated volume = 12.551 Å³/atom
Formation energy (no corrections) = -24.25 eV/f.u.

The structure in POSCAR format:
```
LiCrMo2O8
1.0
6.658 0.000 0.000
-2.382 6.575 0.000
-2.012 -0.797 6.881
Li Cr Mo O
2 2 4 16
Cartesian
0.838 1.478 0.354 Li
1.427 4.300 6.527 Li
-0.471 4.931 4.123 Cr
2.736 0.847 2.758 Cr
-0.525 1.340 3.705 Mo
0.215 5.128 0.525 Mo
2.050 0.650 6.356 Mo
2.790 4.438 3.176 Mo
-3.338 4.754 6.776 O
-2.367 5.234 3.756 O
-0.791 3.075 3.758 O
0.263 3.426 0.483 O
-0.170 0.907 5.363 O
0.823 1.177 2.531 O
-0.022 5.544 2.358 O
-0.625 4.874 6.047 O
2.890 0.904 0.833 O
2.287 0.234 4.523 O
1.441 4.600 4.350 O
2.435 4.871 1.518 O
2.002 2.352 6.398 O
3.056 2.703 3.123 O
4.632 0.544 3.125 O
5.603 1.024 0.105 O
```

No. 8
A plane-wave DFT calculation with PBEsol was carried out for LiCr2Mo3O12 after structural relaxation.

Total magnetization = 4.95 μB per formula unit
Calculated volume = 13.213 Å³/atom
Formation energy (no corrections) = -35.48 eV/f.u.

The structure in POSCAR format:
```
LiCr2Mo3O12
1.0
6.464 0.000 0.000
1.645 6.693 0.000
0.889 2.173 10.995
Li Cr Mo O
2 4 6 24
Cartesian
1.987 3.083 0.937 Li
7.011 5.783 10.058 Li
2.383 3.473 9.613 Cr
3.060 6.640 5.260 Cr
5.938 2.226 5.734 Cr
6.614 5.393 1.382 Cr
2.478 3.301 6.031 Mo
3.154 6.412 1.669 Mo
3.703 6.583 8.871 Mo
5.294 2.283 2.124 Mo
5.843 2.454 9.325 Mo
6.519 5.565 4.963 Mo
2.060 5.045 1.216 O
1.429 1.880 5.476 O
2.671 5.419 9.837 O
2.453 4.821 5.031 O
3.491 8.289 9.414 O
2.305 3.655 7.745 O
2.975 6.898 3.358 O
1.595 1.143 0.559 O
3.270 6.446 7.175 O
3.638 2.692 1.939 O
4.249 3.168 9.473 O
4.902 6.239 5.118 O
4.096 2.627 5.877 O
4.748 5.698 1.521 O
5.359 6.173 9.056 O
5.727 2.419 3.820 O
7.403 7.723 10.436 O
6.023 1.967 7.637 O
6.692 5.210 3.250 O
5.506 0.577 1.581 O
6.545 4.045 5.964 O
6.327 3.447 1.158 O
7.568 6.985 5.519 O
6.937 3.821 9.779 O
```

No. 9
A plane-wave DFT calculation with PBEsol was carried out for SrLi2CrMo after structural relaxation.

Total magnetization = 3.05 μB per formula unit
Calculated volume = 20.910 Å³/atom
Energy of formation = 1938 meV/atom

The structure in POSCAR format:
```
SrLi2CrMo
1.0
4.600 0.000 0.000
0.000 4.600 0.000
0.000 0.000 4.941
Sr Li Cr Mo
1 2 1 1
Cartesian
0.000 0.000 0.000 Sr
0.000 2.300 0.000 Li
2.300 0.000 0.000 Li
2.300 2.300 2.470 Cr
0.000 0.000 2.470 Mo
```

No. 10
A plane-wave DFT calculation with PBEsol was carried out for LiCr2N3 after structural relaxation.

Total magnetization = 3.50 μB per formula unit
Calculated volume = 10.688 Å³/atom
Formation energy (no corrections) = -3.38 eV/f.u.

The structure in POSCAR format:
```
LiCr2N3
1.0
4.707 -2.770 0.000
4.707 2.770 0.000
0.000 0.000 4.919
Li Cr N
2 4 6
Cartesian
4.707 1.852 2.459 Li
4.707 -1.852 0.000 Li
3.127 0.919 4.864 Cr
3.127 -0.919 2.405 Cr
6.288 0.919 4.864 Cr
6.288 -0.919 2.405 Cr
2.958 0.803 3.026 N
4.707 1.637 0.309 N
2.958 -0.803 0.567 N
6.457 0.803 3.026 N
4.707 -1.637 2.768 N
6.457 -0.803 0.567 N
```

No. 11
A plane-wave DFT calculation with PBEsol was carried out for Li9CrN5 after structural relaxation.

Total magnetization = 0.02 μB per formula unit
Calculated volume = 8.928 Å³/atom
Formation energy (no corrections) = -10.27 eV/f.u.

The structure in POSCAR format:
```
Li9CrN5
1.0
5.813 0.000 0.000
1.896 6.446 0.000
1.993 1.128 7.149
Li Cr N
18 2 10
Cartesian
1.466 3.249 1.024 Li
2.318 6.122 1.022 Li
2.188 2.868 3.090 Li
3.233 6.002 3.125 Li
3.392 2.467 5.048 Li
2.281 1.081 0.229 Li
3.423 4.204 0.506 Li
3.216 0.760 2.542 Li
4.191 3.984 2.621 Li
5.510 3.591 4.528 Li
6.484 6.814 4.607 Li
6.278 3.371 6.642 Li
7.420 6.493 6.920 Li
6.309 5.107 2.100 Li
6.468 1.572 4.023 Li
7.513 4.706 4.059 Li
7.383 1.452 6.127 Li
8.235 4.325 6.125 Li
4.403 5.694 5.380 Cr
5.297 1.880 1.769 Cr
1.156 1.376 1.995 N
2.365 4.563 2.164 N
4.420 4.164 6.238 N
5.317 6.925 6.276 N
5.166 5.493 3.824 N
4.535 2.081 3.324 N
4.384 0.649 0.872 N
5.281 3.410 0.910 N
7.336 3.011 4.984 N
8.545 6.198 5.154 N
```

No. 12
A plane-wave DFT calculation with PBEsol was carried out for LiCrN2 after structural relaxation.

Total magnetization = 0.97 μB per formula unit
Calculated volume = 10.732 Å³/atom
Formation energy (no corrections) = -2.37 eV/f.u.

The structure in POSCAR format:
```
LiCrN2
1.0
-2.269 2.269 4.171
2.269 -2.269 4.171
2.269 2.269 -4.171
Li Cr N
2 2 4
Cartesian
0.000 0.000 0.000 Li
0.000 2.269 2.085 Li
2.269 0.000 2.085 Cr
0.000 0.000 4.171 Cr
1.134 -0.860 3.128 N
1.409 1.134 1.043 N
1.134 3.129 -1.043 N
0.860 1.134 5.213 N
```

Among the records above, which one has the highest total magnetization?
Li4MnCrW2O12